No. 1
Entry from Alexandria via LeMat-Bulk: a relaxed Tb2PrNpN4 crystal (PBE-GGA).

Geometry as CIF:
```
data_Tb2PrNpN4
_cell_length_a 3.4523
_cell_length_b 13.1787
_cell_length_c 11.0472
_cell_angle_alpha 90.00
_cell_angle_beta 90.00
_cell_angle_gamma 90.00
_symmetry_space_group_name_H-M 'C m c m'
_symmetry_Int_Tables_number 63
_symmetry_space_group_name_Hall '-C 2c 2'
loop_
_atom_site_label
_atom_site_type_symbol
_atom_site_fract_x
_atom_site_fract_y
_atom_site_fract_z
_atom_site_occupancy
Tb1 Tb 0.0000 0.1274 0.0133 1
Pr1 Pr 0.0000 0.2691 0.7500 1
Np1 Np 0.0000 0.4635 0.2500 1
N1 N 0.0000 0.0737 0.2500 1
N2 N 0.0000 0.2990 0.1120 1
N3 N 0.0000 0.5000 0.0000 1
```

Summary:
V	502.6	Å³ per cell
VASP energy	-8.71	eV per atom
size of the total moment	0.492	μB/atom
E_form (uncorrected)	-1.1717	eV/atom
DOS at the Fermi energy	1.048	states/eV per atom

No. 2
Entry from Alexandria via LeMat-Bulk: a relaxed PrNp2TcN4 crystal (PBE-GGA).

Geometry as CIF:
```
data_PrNp2TcN4
_cell_length_a 3.3810
_cell_length_b 11.7925
_cell_length_c 11.5876
_cell_angle_alpha 90.00
_cell_angle_beta 90.00
_cell_angle_gamma 90.00
_symmetry_space_group_name_H-M 'C m c m'
_symmetry_Int_Tables_number 63
_symmetry_space_group_name_Hall '-C 2c 2'
loop_
_atom_site_label
_atom_site_type_symbol
_atom_site_fract_x
_atom_site_fract_y
_atom_site_fract_z
_atom_site_occupancy
Pr1 Pr 0.0000 0.1084 0.2500 1
Np1 Np 0.0000 0.3692 0.0499 1
Tc1 Tc 0.0000 0.1525 0.7500 1
N1 N 0.0000 0.0000 0.0000 1
N2 N 0.0000 0.2668 0.6135 1
N3 N 0.0000 0.4525 0.2500 1
```

Summary:
V	462.0	Å³ per cell
VASP energy	-10.21	eV per atom
size of the total moment	0.670	μB/atom
E_form (uncorrected)	-0.9195	eV/atom
DOS at the Fermi energy	1.300	states/eV per atom

No. 3
Entry from Alexandria via LeMat-Bulk: a relaxed Pr2NpTcN5 crystal (PBE-GGA).

Geometry as CIF:
```
data_Pr2NpTcN5
_cell_length_a 3.5052
_cell_length_b 13.7950
_cell_length_c 10.6076
_cell_angle_alpha 90.00
_cell_angle_beta 90.00
_cell_angle_gamma 90.00
_symmetry_space_group_name_H-M 'C m c 21'
_symmetry_Int_Tables_number 36
_symmetry_space_group_name_Hall 'C 2c -2'
loop_
_atom_site_label
_atom_site_type_symbol
_atom_site_fract_x
_atom_site_fract_y
_atom_site_fract_z
_atom_site_occupancy
Pr1 Pr 0.0000 0.1065 0.0000 1
Pr2 Pr 0.0000 0.1394 0.6233 1
Np1 Np 0.0000 0.2068 0.3274 1
Tc1 Tc 0.0000 0.4769 0.7741 1
N1 N 0.0000 0.0428 0.3522 1
N2 N 0.0000 0.2831 0.9602 1
N3 N 0.0000 0.3208 0.7026 1
N4 N 0.0000 0.3657 0.3139 1
N5 N 0.0000 0.4902 0.0998 1
```

Summary:
V	512.9	Å³ per cell
VASP energy	-9.22	eV per atom
size of the total moment	0.189	μB/atom
E_form (uncorrected)	-0.9423	eV/atom
DOS at the Fermi energy	0.859	states/eV per atom

No. 4
Entry from Alexandria via LeMat-Bulk: a relaxed PrNpTe2N crystal (PBE-GGA).

Geometry as CIF:
```
data_PrNpTe2N
_cell_length_a 4.0792
_cell_length_b 4.0792
_cell_length_c 16.7320
_cell_angle_alpha 90.00
_cell_angle_beta 90.00
_cell_angle_gamma 90.00
_symmetry_space_group_name_H-M 'P 4/n m m'
_symmetry_Int_Tables_number 129
loop_
_symmetry_equiv_pos_as_xyz
'x,y,z'
'-x,-y,-z'
'-y+1/2,x,z'
'y+1/2,-x,-z'
'-x+1/2,-y+1/2,z'
'x+1/2,y+1/2,-z'
'y,-x+1/2,z'
'-y,x+1/2,-z'
'x+1/2,-y,-z'
'-x+1/2,y,z'
'-y,-x,-z'
'y,x,z'
'-x,y+1/2,-z'
'x,-y+1/2,z'
'y+1/2,x+1/2,-z'
'-y+1/2,-x+1/2,z'
loop_
_atom_site_label
_atom_site_type_symbol
_atom_site_fract_x
_atom_site_fract_y
_atom_site_fract_z
_atom_site_occupancy
Pr1 Pr 0.2500 0.2500 0.1483 1
Np1 Np 0.2500 0.2500 0.5624 1
Te1 Te 0.2500 0.2500 0.3306 1
Te2 Te 0.2500 0.2500 0.9208 1
N1 N 0.2500 0.7500 0.5000 1
```

Summary:
V	278.4	Å³ per cell
VASP energy	-7.63	eV per atom
size of the total moment	0.560	μB/atom
E_form (uncorrected)	-1.1641	eV/atom
DOS at the Fermi energy	1.933	states/eV per atom

No. 5
Entry from Alexandria via LeMat-Bulk: a relaxed PrTh2NpN4 crystal (PBE-GGA).

Geometry as CIF:
```
data_PrTh2NpN4
_cell_length_a 5.1230
_cell_length_b 5.1230
_cell_length_c 10.2452
_cell_angle_alpha 90.00
_cell_angle_beta 90.00
_cell_angle_gamma 90.00
_symmetry_space_group_name_H-M 'I -4 m 2'
_symmetry_Int_Tables_number 119
_symmetry_space_group_name_Hall 'I -4 -2'
loop_
_atom_site_label
_atom_site_type_symbol
_atom_site_fract_x
_atom_site_fract_y
_atom_site_fract_z
_atom_site_occupancy
Pr1 Pr 0.0000 0.0000 0.0000 1
Th1 Th 0.0000 0.0000 0.5000 1
Th2 Th 0.0000 0.5000 0.2500 1
Np1 Np 0.0000 0.5000 0.7500 1
N1 N 0.0000 0.0000 0.2552 1
N2 N 0.0000 0.5000 0.5073 1
```

Summary:
V	268.9	Å³ per cell
VASP energy	-9.59	eV per atom
size of the total moment	0.473	μB/atom
E_form (uncorrected)	-1.3594	eV/atom
DOS at the Fermi energy	1.090	states/eV per atom

No. 6
Entry from Alexandria via LeMat-Bulk: a relaxed Pr4Th3NpN8 crystal (PBE-GGA).

Geometry as CIF:
```
data_Pr4Th3NpN8
_cell_length_a 7.2956
_cell_length_b 7.2956
_cell_length_c 17.8847
_cell_angle_alpha 90.00
_cell_angle_beta 90.00
_cell_angle_gamma 120.00
_symmetry_space_group_name_H-M 'R -3 m'
_symmetry_Int_Tables_number 166
_symmetry_space_group_name_Hall '-R 3 2"'
loop_
_atom_site_label
_atom_site_type_symbol
_atom_site_fract_x
_atom_site_fract_y
_atom_site_fract_z
_atom_site_occupancy
Pr1 Pr 0.0000 0.0000 0.0000 1
Pr2 Pr 0.0000 0.5000 0.0000 1
Th1 Th 0.0000 0.5000 0.5000 1
Np1 Np 0.0000 0.0000 0.5000 1
N1 N 0.0000 0.0000 0.2435 1
N2 N 0.0143 0.5071 0.2409 1
```

Summary:
V	824.4	Å³ per cell
VASP energy	-8.98	eV per atom
size of the total moment	0.201	μB/atom
E_form (uncorrected)	-1.4186	eV/atom
DOS at the Fermi energy	0.549	states/eV per atom

No. 7
Entry from Alexandria via LeMat-Bulk: a relaxed Pr3Th3NpN8 crystal (PBE-GGA).

Geometry as CIF:
```
data_Pr3Th3NpN8
_cell_length_a 7.2699
_cell_length_b 7.2699
_cell_length_c 17.7273
_cell_angle_alpha 90.00
_cell_angle_beta 90.00
_cell_angle_gamma 120.00
_symmetry_space_group_name_H-M 'R -3 m'
_symmetry_Int_Tables_number 166
_symmetry_space_group_name_Hall '-R 3 2"'
loop_
_atom_site_label
_atom_site_type_symbol
_atom_site_fract_x
_atom_site_fract_y
_atom_site_fract_z
_atom_site_occupancy
Pr1 Pr 0.0000 0.5000 0.0000 1
Th1 Th 0.0000 0.5000 0.5000 1
Np1 Np 0.0000 0.0000 0.5000 1
N1 N 0.0000 0.0000 0.2434 1
N2 N 0.0378 0.5189 0.2337 1
```

Summary:
V	811.4	Å³ per cell
VASP energy	-9.09	eV per atom
size of the total moment	0.072	μB/atom
E_form (uncorrected)	-1.3479	eV/atom
DOS at the Fermi energy	0.506	states/eV per atom

No. 8
Entry from Alexandria via LeMat-Bulk: a relaxed Pr2Th3NpN6 crystal (PBE-GGA).

Geometry as CIF:
```
data_Pr2Th3NpN6
_cell_length_a 6.3187
_cell_length_b 10.9154
_cell_length_c 6.2798
_cell_angle_alpha 90.00
_cell_angle_beta 109.67
_cell_angle_gamma 90.00
_symmetry_space_group_name_H-M 'C 1 2/m 1'
_symmetry_Int_Tables_number 12
_symmetry_space_group_name_Hall '-C 2y'
loop_
_atom_site_label
_atom_site_type_symbol
_atom_site_fract_x
_atom_site_fract_y
_atom_site_fract_z
_atom_site_occupancy
Pr1 Pr 0.0000 0.1666 0.0000 1
Th1 Th 0.0000 0.0000 0.5000 1
Th2 Th 0.0000 0.3330 0.5000 1
Np1 Np 0.0000 0.5000 0.0000 1
N1 N 0.2276 0.5000 0.7404 1
N2 N 0.2365 0.3460 0.2489 1
```

Summary:
V	407.8	Å³ per cell
VASP energy	-9.30	eV per atom
size of the total moment	0.272	μB/atom
E_form (uncorrected)	-1.4050	eV/atom
DOS at the Fermi energy	0.895	states/eV per atom